Compound: CaTl2Cu
Source: Alexandria
Functional: meta-GGA SCAN
Structure: single point on PBEsol structure

a b c (Å): 3.593 3.593 7.311
angles (deg): 90.00 90.00 90.00
Atoms (fractional coordinates):
Ca 0.000 0.000 0.530
Cu 0.500 0.500 0.775
Tl 0.000 0.000 0.957
Tl 0.500 0.500 0.238

Values from the calculation:
The calculation puts the total magnetization at 0.00 μB/cell. Its formation enthalpy at 0 K is -0.05 eV per atom.

---

Compound: Ca2CuW
Source: Alexandria
Functional: meta-GGA SCAN
Structure: single point on PBEsol structure

a b c (Å): 2.865 5.421 5.908
angles (deg): 110.24 104.03 90.00
Atoms (fractional coordinates):
Ca 0.980 0.944 0.960
Ca 0.782 0.326 0.564
Cu 0.531 0.463 0.061
W 0.207 0.766 0.414

Values from the calculation:
The calculation puts the total magnetization at 0.00 μB/cell. Its formation enthalpy at 0 K is 0.68 eV per atom.

---

Compound: CaCuW2
Source: Alexandria
Functional: meta-GGA SCAN
Structure: single point on PBEsol structure

a b c (Å): 2.681 2.681 9.174
angles (deg): 90.00 90.00 83.50
Atoms (fractional coordinates):
Ca 0.500 0.500 0.500
Cu 0.500 0.500 0.000
W 0.000 0.000 0.213
W 0.000 0.000 0.787

Values from the calculation:
The calculation puts the total magnetization at 0.00 μB/cell. Its formation enthalpy at 0 K is 0.76 eV per atom. Its offset from the most stable computed form is 0 meV/atom.

---

Compound: CaCuW2
Source: Alexandria
Functional: meta-GGA SCAN
Structure: single point on PBEsol structure

a b c (Å): 3.223 3.223 7.028
angles (deg): 90.00 90.00 90.00
Atoms (fractional coordinates):
Ca 0.500 0.500 0.000
Cu 0.500 0.500 0.500
W 0.000 0.000 0.670
W 0.000 0.000 0.330

Values from the calculation:
The calculation puts the total magnetization at 0.00 μB/cell. Its formation enthalpy at 0 K is 0.94 eV per atom. Its offset from the most stable computed form is 180 meV/atom.